Below is a relaxed structure of Ac2SiNiPt6, with properties calculated at the GGA-PBE level.

Unit cell a=6.5890 b=6.5890 c=8.2539 alpha=126.46 beta=126.46 gamma=50.06
With the nearest neighbours (Å) after each atom.
Fractional coordinates of all 10 atoms:
Ac (0.2358, 0.2358, 0.1941)  9 Pt 3.13-3.45
Ac (0.7642, 0.7642, 0.8059)  9 Pt 3.13-3.45
Si (0.0000, 0.0000, 0.5000)  6 Pt 2.43-2.45
Ni (0.5000, 0.5000, 0.0000)  6 Pt 2.54-2.55
Pt (0.2447, 0.7357, 0.7297)  1 Si 2.43, 1 Ni 2.55
Pt (0.2500, 0.2500, 0.6203)  1 Si 2.45, 1 Ni 2.54, 2 Pt 2.74
Pt (0.2643, 0.7553, 0.2703)  1 Si 2.43, 1 Ni 2.55
Pt (0.7357, 0.2447, 0.7297)  1 Si 2.43, 1 Ni 2.55
Pt (0.7500, 0.7500, 0.3797)  1 Si 2.45, 1 Ni 2.54, 2 Pt 2.74
Pt (0.7553, 0.2643, 0.2703)  1 Si 2.43, 1 Ni 2.55

mass density = 13.70 g/cm3
SG = C2/m, No. 12
raw formation energy = -0.87 eV per atom
total magnetic moment = 0.0000 μB/atom

Below is a relaxed structure of PmY2Tm2, with properties calculated at the GGA-PBE level.

Unit cell a=9.3733 b=9.3733 c=3.7022 alpha=90.00 beta=90.00 gamma=90.00
With the nearest neighbours (Å) after each atom.
Fractional coordinates of all 10 atoms:
Pm (0.0000, 0.0000, 0.0000)  2 Pm 3.70, 4 Tm 3.71, 8 Y 3.93
Pm (0.5000, 0.5000, 0.0000)  2 Pm 3.70, 4 Tm 3.71, 8 Y 3.93
Y (0.1731, 0.3269, 0.5000)  6 Tm 3.27-3.37
Y (0.3269, 0.8269, 0.5000)  6 Tm 3.27-3.37
Y (0.6731, 0.1731, 0.5000)  6 Tm 3.27-3.37
Y (0.8269, 0.6731, 0.5000)  6 Tm 3.27-3.37
Tm (0.1238, 0.6238, 0.0000)  6 Y 3.27-3.37, 1 Tm 3.28
Tm (0.3762, 0.1238, 0.0000)  6 Y 3.27-3.37, 1 Tm 3.28
Tm (0.6238, 0.8762, 0.0000)  6 Y 3.27-3.37, 1 Tm 3.28
Tm (0.8762, 0.3762, 0.0000)  6 Y 3.27-3.37, 1 Tm 3.28

polymorph energy (0 for the lowest one) = 0 meV/atom
mass density = 6.75 g/cm3
SG = P4/mbm, No. 127
formation energy = 0.0852 eV per atom
total magnetic moment = 0.0000 μB/atom

no.,DOS(E_F) (states/eV/f.u.)
1,5.062
2,5.410